(1)
# Sm2Si4PtRh3

A relaxed Sm2Si4PtRh3 crystal (PBE, the Alexandria database).

## Properties
DFT total energy (eV per atom): -6.980
Total magnetic moment (μB per cell): 0.0
Formation energy (no corrections) (eV per atom): -1.0576
N(E_F) (states/eV/atom): 0.52

The structure in POSCAR format:
```
Sm2Si4PtRh3
1.0
4.137 0.000 0.000
0.000 4.137 0.000
0.000 0.000 10.027
Sm Si Pt Rh
2 4 1 3
Direct
0.000 0.500 0.241
0.500 0.000 0.759
0.000 0.000 0.000
0.000 0.500 0.637
0.500 0.000 0.363
0.500 0.500 0.000
0.000 0.000 0.500
0.000 0.500 0.874
0.500 0.000 0.126
0.500 0.500 0.500
```

=====

(2)
# Sr2Si4Pt3Rh

A relaxed Sr2Si4Pt3Rh crystal (PBE, the Alexandria database).

## Properties
DFT total energy (eV per atom): -5.979
Total magnetic moment (μB per cell): 0.0
Formation energy (no corrections) (eV per atom): -0.9259
N(E_F) (states/eV/atom): 0.42

The structure in POSCAR format:
```
Sr2Si4Pt3Rh
1.0
4.227 0.000 0.000
0.000 4.227 0.000
0.000 0.000 10.265
Sr Si Pt Rh
2 4 3 1
Direct
0.000 0.500 0.245
0.500 0.000 0.755
0.000 0.000 0.000
0.000 0.500 0.628
0.500 0.000 0.372
0.500 0.500 0.000
0.000 0.500 0.875
0.500 0.000 0.125
0.500 0.500 0.500
0.000 0.000 0.500
```

=====

(3)
# Tb2Si3Pt4Rh

A relaxed Tb2Si3Pt4Rh crystal (PBE, the Alexandria database).

## Properties
DFT total energy (eV per atom): -6.666
Total magnetic moment (μB per cell): 0.0
Formation energy (no corrections) (eV per atom): -0.9612
N(E_F) (states/eV/atom): 0.77

The structure in POSCAR format:
```
Tb2Si3Pt4Rh
1.0
4.082 0.000 0.000
0.000 4.082 0.000
0.000 0.000 10.647
Tb Si Pt Rh
2 3 4 1
Direct
0.000 0.500 0.246
0.500 0.000 0.754
0.000 0.000 0.000
0.000 0.500 0.630
0.500 0.000 0.370
0.000 0.000 0.500
0.000 0.500 0.848
0.500 0.000 0.152
0.500 0.500 0.500
0.500 0.500 0.000
```

=====

(4)
# Tb2Si3Pt12Rh

A relaxed Tb2Si3Pt12Rh crystal (PBE, the Alexandria database).

## Properties
DFT total energy (eV per atom): -6.260
Total magnetic moment (μB per cell): 0.0
Formation energy (no corrections) (eV per atom): -0.4057
N(E_F) (states/eV/atom): 0.52

The structure in POSCAR format:
```
Tb2Si3Pt12Rh
1.0
4.102 2.368 5.978
-4.102 2.368 5.978
0.000 -4.737 5.978
Tb Si Pt Rh
2 3 12 1
Direct
0.108 0.108 0.108
0.892 0.892 0.892
0.000 0.500 0.500
0.500 0.000 0.500
0.500 0.500 0.000
0.117 0.636 0.636
0.143 0.143 0.604
0.143 0.604 0.143
0.364 0.364 0.883
0.364 0.883 0.364
0.396 0.857 0.857
0.604 0.143 0.143
0.636 0.117 0.636
0.636 0.636 0.117
0.857 0.396 0.857
0.857 0.857 0.396
0.883 0.364 0.364
0.500 0.500 0.500
```

=====

(5)
# Tb3Si6PtRh2

A relaxed Tb3Si6PtRh2 crystal (PBE, the Alexandria database).

## Properties
DFT total energy (eV per atom): -6.142
Total magnetic moment (μB per cell): 0.0
Formation energy (no corrections) (eV per atom): -0.5439
N(E_F) (states/eV/atom): 0.39

The structure in POSCAR format:
```
Tb3Si6PtRh2
1.0
5.305 0.000 0.000
-2.652 4.594 0.000
0.000 0.000 9.046
Tb Si Pt Rh
3 6 1 2
Direct
0.000 0.000 0.000
0.333 0.667 0.581
0.667 0.333 0.419
0.170 0.340 0.274
0.170 0.830 0.274
0.340 0.170 0.726
0.660 0.830 0.274
0.830 0.170 0.726
0.830 0.660 0.726
0.000 0.000 0.500
0.333 0.667 0.067
0.667 0.333 0.933
```

=====

(6)
# TbSi2Pt4Rh

A relaxed TbSi2Pt4Rh crystal (PBE, the Alexandria database).

## Properties
DFT total energy (eV per atom): -6.502
Total magnetic moment (μB per cell): 0.0
Formation energy (no corrections) (eV per atom): -0.6281
N(E_F) (states/eV/atom): 0.25

The structure in POSCAR format:
```
TbSi2Pt4Rh
1.0
3.923 0.000 0.000
0.000 3.923 0.000
0.000 0.000 9.356
Tb Si Pt Rh
1 2 4 1
Direct
0.000 0.000 0.000
0.500 0.500 0.379
0.500 0.500 0.621
0.000 0.500 0.238
0.000 0.500 0.762
0.500 0.000 0.238
0.500 0.000 0.762
0.000 0.000 0.500
```

=====

What is the DFT total energy in the fifth record? -6.142 eV per atom